VASP calculation (PBE) on LaSbTe after structural relaxation.

- SG = P-6m2, No. 187
- raw formation energy (eV per atom) = -0.68
- N(E_F) (states/eV/atom) = 0.770
- magnetization (μB per atom) = 0.000
- ρ (g/cm³) = 6.9
- total energy (eV/atom) = -4.748

Cell lengths 5.268, 5.268, 3.887 Å; angles 90.00, 90.00, 120.00 degrees
Fractional coordinates of all 3 atoms:
Sb  0.667  0.333  0.500
Te  0.333  0.667  0.500
La  0.000  0.000  0.000

***

VASP calculation (PBE) on In2Ir2O7 after structural relaxation.

- SG = Fd-3m, No. 227
- raw formation energy (eV per atom) = -1.11
- N(E_F) (states/eV/atom) = 0.516
- magnetization (μB per atom) = 0.182
- ρ (g/cm³) = 9.2
- total energy (eV/atom) = -6.370

Cell lengths 7.172, 7.172, 7.172 Å; angles 60.00, 60.00, 60.00 degrees
Site moments in Bohr magnetons follow the coordinates.
Fractional coordinates of all 22 atoms:
O  0.788  0.788  0.212  0.07
Ir  0.125  0.125  0.625  0.65
In  0.125  0.625  0.625  0.04
Ir  0.625  0.125  0.125  0.65
O  0.500  0.500  0.500  0.06
In  0.625  0.125  0.625  0.04
Ir  0.125  0.625  0.125  0.65
O  0.212  0.212  0.788  0.07
Ir  0.125  0.125  0.125  0.65
O  0.212  0.788  0.788  0.07
O  0.462  0.038  0.038  0.07
O  0.038  0.038  0.462  0.07
O  0.462  0.462  0.038  0.07
O  0.788  0.212  0.788  0.07
O  0.212  0.788  0.212  0.07
O  0.038  0.462  0.462  0.07
O  0.462  0.038  0.462  0.07
In  0.625  0.625  0.125  0.04
In  0.625  0.625  0.625  0.04
O  0.038  0.462  0.038  0.07
O  0.750  0.750  0.750  0.06
O  0.788  0.212  0.212  0.07

***

VASP calculation (PBE) on Dy4Te3Pt after structural relaxation.

- SG = Cmmm, No. 65
- polymorph energy (0 for the lowest one) (meV per atom) = 0
- raw formation energy (eV per atom) = -1.30
- N(E_F) (states/eV/atom) = 0.568
- magnetization (μB per atom) = 0.000
- ρ (g/cm³) = 8.9
- total energy (eV/atom) = -5.533

Cell lengths 4.198, 7.592, 7.592 Å; angles 108.34, 90.00, 90.00 degrees
Fractional coordinates of all 8 atoms:
Te  0.000  0.000  0.500
Te  0.000  0.500  0.000
Te  0.500  0.500  0.500
Pt  0.500  0.000  0.000
Dy  0.500  0.766  0.234
Dy  0.000  0.788  0.788
Dy  0.500  0.234  0.766
Dy  0.000  0.212  0.212

***

VASP calculation (PBE) on YAlSeN2 after structural relaxation.

- SG = P4/mmm, No. 123
- polymorph energy (0 for the lowest one) (meV per atom) = 981
- raw formation energy (eV per atom) = 0.71
- N(E_F) (states/eV/atom) = 0.667
- magnetization (μB per atom) = 0.636
- ρ (g/cm³) = 3.3
- total energy (eV/atom) = -5.361

Cell lengths 4.420, 4.420, 5.760 Å; angles 90.00, 90.00, 90.00 degrees
Site moments in Bohr magnetons follow the coordinates.
Fractional coordinates of all 5 atoms:
N  0.000  0.500  0.000  1.06
Y  0.000  0.000  0.000  0.08
Se  0.000  0.000  0.500  0.09
Al  0.500  0.500  0.500  -0.01
N  0.500  0.000  0.000  1.06

***

VASP calculation (PBE) on PaNbMo after structural relaxation.

- SG = Pmma, No. 51
- polymorph energy (0 for the lowest one) (meV per atom) = 411
- N(E_F) (states/eV/atom) = 1.578
- magnetization (μB per atom) = 0.000
- E_form (eV per atom) = 0.4756
- ρ (g/cm³) = 11.5
- total energy (eV/atom) = -9.657

Cell lengths 3.038, 7.196, 5.560 Å; angles 90.00, 90.00, 90.00 degrees
Fractional coordinates of all 6 atoms:
Mo  0.500  0.841  0.750
Nb  0.000  0.870  0.250
Pa  0.000  0.500  0.000
Pa  0.000  0.500  0.500
Mo  0.500  0.159  0.250
Nb  0.000  0.130  0.750

***

VASP calculation (PBE) on PbW after structural relaxation.

- SG = P4/nmm, No. 129
- polymorph energy (0 for the lowest one) (meV per atom) = 5
- N(E_F) (states/eV/atom) = 0.799
- magnetization (μB per atom) = 0.000
- E_form (eV per atom) = 0.4989
- ρ (g/cm³) = 13.8
- total energy (eV/atom) = -7.832

Cell lengths 3.295, 3.295, 8.666 Å; angles 90.00, 90.00, 90.00 degrees
Fractional coordinates of all 4 atoms:
W  0.750  0.750  0.428
Pb  0.250  0.250  0.185
W  0.250  0.250  0.572
Pb  0.750  0.750  0.815

***

VASP calculation (PBE) on V4CoRu after structural relaxation.

- SG = C2/m, No. 12
- N(E_F) (states/eV/atom) = 1.581
- magnetization (μB per atom) = 0.001
- E_form (eV per atom) = 0.3581
- ρ (g/cm³) = 6.6
- total energy (eV/atom) = -8.451

Cell lengths 3.995, 4.000, 5.726 Å; angles 89.85, 89.92, 90.00 degrees
Fractional coordinates of all 6 atoms:
V  0.501  0.998  0.738
V  0.001  0.497  0.259
Co  0.001  0.997  0.498
V  0.501  0.997  0.259
V  0.002  0.497  0.737
Ru  0.501  0.497  0.998

***

VASP calculation (PBE) on CeUGa2 after structural relaxation.

- SG = R-3m, No. 166
- N(E_F) (states/eV/atom) = 2.010
- magnetization (μB per atom) = 0.336
- E_form (eV per atom) = -0.1428
- ρ (g/cm³) = 10.3
- total energy (eV/atom) = -5.962

Cell lengths 3.025, 3.025, 10.636 Å; angles 81.82, 81.82, 60.00 degrees
Site moments in Bohr magnetons follow the coordinates.
Fractional coordinates of all 4 atoms:
Ga  0.251  0.251  0.246  -0.01
Ga  0.749  0.749  0.754  -0.01
U  0.000  0.000  0.000  1.34
Ce  0.500  0.500  0.500  -0.02

***

VASP calculation (PBE) on Rb2CrCoBr6 after structural relaxation.

- SG = Fm-3m, No. 225
- raw formation energy (eV per atom) = -0.95
- N(E_F) (states/eV/atom) = 1.507
- magnetization (μB per atom) = 0.583
- ρ (g/cm³) = 4.4
- total energy (eV/atom) = -3.816

Cell lengths 7.406, 7.406, 7.404 Å; angles 59.99, 59.99, 90.00 degrees
Site moments in Bohr magnetons follow the coordinates.
Fractional coordinates of all 10 atoms:
Cr  0.500  0.500  0.000  3.44
Co  0.000  0.000  0.000  2.01
Br  0.250  0.250  0.000  0.00
Br  0.750  0.750  0.000  0.00
Rb  0.250  0.750  0.500  0.00
Br  0.750  0.250  0.000  0.00
Br  0.250  0.250  0.500  0.00
Br  0.250  0.750  0.000  0.00
Br  0.750  0.750  0.500  0.00
Rb  0.750  0.250  0.500  0.00

***

VASP calculation (PBE) on YMg2W after structural relaxation.

- SG = Immm, No. 71
- polymorph energy (0 for the lowest one) (meV per atom) = 89
- N(E_F) (states/eV/atom) = 0.897
- magnetization (μB per atom) = 0.000
- E_form (eV per atom) = 0.4349
- ρ (g/cm³) = 6.0
- total energy (eV/atom) = -5.217

Cell lengths 6.215, 6.215, 6.215 Å; angles 150.43, 131.34, 57.98 degrees
Fractional coordinates of all 4 atoms:
W  0.250  0.750  0.500
Mg  0.472  0.472  0.000
Y  0.750  0.250  0.500
Mg  0.028  0.028  0.000

***

VASP calculation (PBE) on LiHf2Sn2 after structural relaxation.

- SG = P4/mbm, No. 127
- polymorph energy (0 for the lowest one) (meV per atom) = 59
- N(E_F) (states/eV/atom) = 0.620
- magnetization (μB per atom) = 0.124
- E_form (eV per atom) = -0.1178
- ρ (g/cm³) = 8.4
- total energy (eV/atom) = -6.083

Cell lengths 8.635, 8.635, 3.186 Å; angles 90.00, 90.00, 90.00 degrees
Site moments in Bohr magnetons follow the coordinates.
Fractional coordinates of all 10 atoms:
Sn  0.672  0.828  0.500  0.00
Sn  0.328  0.172  0.500  0.00
Li  0.000  0.000  0.000  0.01
Hf  0.123  0.377  0.000  0.20
Hf  0.623  0.123  0.000  0.22
Li  0.500  0.500  0.000  0.01
Hf  0.877  0.623  0.000  0.20
Hf  0.377  0.877  0.000  0.22
Sn  0.828  0.328  0.500  0.00
Sn  0.172  0.672  0.500  0.00

***

VASP calculation (PBE) on NdEr2Zn3 after structural relaxation.

- SG = P4/mmm, No. 123
- N(E_F) (states/eV/atom) = 1.123
- magnetization (μB per atom) = 0.000
- E_form (eV per atom) = -0.3278
- ρ (g/cm³) = 8.1
- total energy (eV/atom) = -3.280

Cell lengths 3.581, 3.581, 10.805 Å; angles 90.00, 90.00, 90.00 degrees
Fractional coordinates of all 6 atoms:
Er  0.500  0.500  0.838
Zn  0.000  0.000  0.000
Nd  0.500  0.500  0.500
Zn  0.000  0.000  0.318
Zn  0.000  0.000  0.682
Er  0.500  0.500  0.162